[1]
An optimized crystal structure of Ce2ScC2Cl2. Source: Alexandria, functional GGA-PBE.

Computed properties:
**M_tot**: 1.07 μB per cell
**Raw formation energy**: -0.974 eV/atom
**DOS(E_F)**: 6.85 states/eV/cell
**Volume**: 19.6 Å³ per atom

Cell: 4.360 4.360 7.849 Å, 106.13 106.13 90.00°
Fractional positions:
Ce (0.401, 0.401, 0.801)
Ce (0.599, 0.599, 0.199)
Sc (0.000, 0.000, 0.000)
C (0.000, 0.500, 0.000)
C (0.500, 0.000, 0.000)
Cl (0.189, 0.189, 0.379)
Cl (0.811, 0.811, 0.621)

---

[2]
An optimized crystal structure of TbSm3Al2. Source: Alexandria, functional GGA-PBE.

Computed properties:
**Formation enthalpy at 0 K**: -0.186 eV/atom
**M_tot**: 0.00 μB per cell
**DOS(E_F)**: 12.96 states/eV/cell
**Polymorph energy (0 for the lowest one)**: 82 meV per atom
**Volume**: 27.4 Å³ per atom

Cell: 4.902 8.876 9.089 Å, 119.23 105.64 90.00°
Fractional positions:
Tb (0.000, 0.500, 0.000)
Tb (0.000, 0.000, 0.000)
Sm (0.500, 0.250, 0.000)
Sm (0.500, 0.750, 0.000)
Sm (0.825, 0.075, 0.649)
Sm (0.175, 0.425, 0.351)
Sm (0.175, 0.925, 0.351)
Sm (0.825, 0.575, 0.649)
Al (0.344, 0.344, 0.688)
Al (0.656, 0.156, 0.312)
Al (0.344, 0.844, 0.688)
Al (0.656, 0.656, 0.312)

---

[3]
An optimized crystal structure of Pa6SiOs3. Source: Alexandria, functional GGA-PBE.

Computed properties:
**M_tot**: 0.00 μB per cell
**Raw formation energy**: -0.165 eV/atom
**DOS(E_F)**: 34.55 states/eV/cell
**Volume**: 22.9 Å³ per atom

Cell: 7.766 7.766 7.766 Å, 82.47 82.47 82.47°
Fractional positions:
Pa (0.348, 0.894, 0.188)
Pa (0.106, 0.812, 0.652)
Pa (0.636, 0.835, 0.509)
Pa (0.812, 0.652, 0.106)
Pa (0.509, 0.636, 0.835)
Pa (0.165, 0.491, 0.364)
Pa (0.835, 0.509, 0.636)
Pa (0.491, 0.364, 0.165)
Pa (0.188, 0.348, 0.894)
Pa (0.364, 0.165, 0.491)
Pa (0.894, 0.188, 0.348)
Pa (0.652, 0.106, 0.812)
Si (0.000, 0.000, 0.000)
Si (0.500, 0.500, 0.500)
Os (0.324, 0.992, 0.826)
Os (0.992, 0.826, 0.324)
Os (0.174, 0.676, 0.008)
Os (0.826, 0.324, 0.992)
Os (0.008, 0.174, 0.676)
Os (0.676, 0.008, 0.174)

---

Which of these has the highest volume?
TbSm3Al2